Density functional theory data (PBE) for a geometry-optimized BaTaS2Cl structure.

The structure in CIF format:
```
data_BaTaS2Cl
_chemical_formula_sum 'Ba1 Ta1 S2 Cl1'
_cell_length_a 4.870
_cell_length_b 4.870
_cell_length_c 4.985
_cell_angle_alpha 90.00
_cell_angle_beta 90.00
_cell_angle_gamma 90.00
_space_group_name_H-M_alt 'P 4/m m m'
_space_group_IT_number 123
_space_group_name_Hall '-P 4 2'
loop_
_atom_site_label
_atom_site_fract_x
_atom_site_fract_y
_atom_site_fract_z
_atom_site_occupancy
Ba1 0.000 0.000 0.000 1
Ta1 0.500 0.500 0.500 1
S1 0.000 0.500 0.500 1
Cl1 0.500 0.500 0.000 1
```

Properties
Fermi-level density of states	1.8	states/eV/cell
ΔE to the lowest computed polymorph	0	meV/atom
electronic total energy	-6.098	eV/atom
formation energy from raw total energies	-1322	meV/atom